The following is a DFT calculation (PBE+U) of crystalline MoSe3O9 at its relaxed geometry.

Properties
- density of states at the Fermi level (states/eV/cell) = 0.00
- raw total energy (eV/atom) = -5.69

abc: 14.953 6.301 10.140
angles: 90.00 106.45 90.00
Space group Cc (No. 9)
Unique sites:
Mo  0.000  0.129  0.000 (multiplicity 4)
Se  0.152  0.097  0.795 (multiplicity 4)
Se  0.229  0.445  0.248 (multiplicity 4)
Se  0.361  0.147  0.690 (multiplicity 4)
O  0.063  0.118  0.650 (multiplicity 4)
O  0.102  0.023  0.922 (multiplicity 4)
O  0.139  0.309  0.149 (multiplicity 4)
O  0.169  0.376  0.842 (multiplicity 4)
O  0.256  0.364  0.636 (multiplicity 4)
O  0.320  0.008  0.058 (multiplicity 4)
O  0.410  0.464  0.913 (multiplicity 4)
O  0.452  0.294  0.660 (multiplicity 4)
O  0.475  0.137  0.409 (multiplicity 4)

The following is a DFT calculation (PBE+U) of crystalline Sm2TiNiO6 at its relaxed geometry.

Properties
- density of states at the Fermi level (states/eV/cell) = 0.00
- raw total energy (eV/atom) = -7.88

abc: 5.409 5.677 9.424
angles: 90.00 124.62 90.00
Space group P2_1/c (No. 14)
Unique sites:
Sm  0.232  0.064  0.249 (multiplicity 4)
Ti  0.500  0.000  0.000 (multiplicity 2)
Ni  0.000  0.000  0.500 (multiplicity 2)
O  0.155  0.192  0.950 (multiplicity 4)
O  0.255  0.709  0.945 (multiplicity 4)
O  0.358  0.033  0.757 (multiplicity 4)